Entry 1:
AcLa2TbPm | PBE | optimized geometry

The structure belongs to space group P2_1/m (No. 11); the cell edges are 6.5565, 6.0181 and 10.0375 Å and the angles 90.00°, 109.02° and 90.00°. Symmetry generates all atoms from Ac at (0.2332, 0.2500, 0.3029), La at (0.3683, 0.7500, 0.9076), La at (0.4239, 0.2500, 0.7001), Tb at (0.1605, 0.7500, 0.5024) and Pm at (0.0377, 0.2500, 0.8996).

The uncorrected energy is -46.24 eV/cell. The value obtained for the formation enthalpy at 0 K is 0.045 eV/atom. As for the total magnetization: 0.00 μB/f.u.

Entry 2:
Ac5Al2Pd4 | PBE | optimized geometry

The structure belongs to space group C2/m (No. 12); the cell edges are 20.0586, 4.3137 and 7.9567 Å and the angles 90.00°, 107.36° and 90.00°. Symmetry generates all atoms from Ac at (0.0000, 0.0000, 0.0000), Ac at (0.1559, 0.5000, 0.4221), Ac at (0.1616, 0.5000, 0.9297), Al at (0.0624, 0.0000, 0.6162), Pd at (0.0051, 0.5000, 0.6842) and Pd at (0.2020, 0.0000, 0.7073).

The uncorrected energy is -110.10 eV/cell. The value obtained for the formation enthalpy at 0 K is -0.568 eV/atom. As for the total magnetization: 0.00 μB/f.u.

Entry 3:
Y2MnSbN | PBE | optimized geometry

The structure belongs to space group P4/mmm (No. 123); the cell edges are 5.6943, 5.6943 and 4.7566 Å and the angles 90.00°, 90.00° and 90.00°. Symmetry generates all atoms from Y at (0.0000, 0.5000, 0.0000), Mn at (0.0000, 0.0000, 0.5000), Sb at (0.0000, 0.0000, 0.0000) and N at (0.5000, 0.5000, 0.5000).

As for the uncorrected formation energy: 1.166 eV per atom. The uncorrected energy is -28.72 eV/cell. As for the total magnetization: 3.20 μB/f.u. The calculation puts the energy above the most stable polymorph in this dataset at 187.1 kJ/mol of atoms.

Entry 4:
SmDy2Ho2Mg2 | PBE | optimized geometry

The structure belongs to space group R-3m (No. 166, hexagonal axes); the cell edges are 5.4494, 5.4494 and 24.0054 Å and the angles 90.00°, 90.00° and 120.00°. Symmetry generates all atoms from Sm at (0.0000, 0.0000, 0.0000), Dy at (0.0000, 0.0000, 0.4278), Ho at (0.0000, 0.0000, 0.1555) and Mg at (0.0000, 0.0000, 0.2892).

The uncorrected energy is -79.46 eV/cell. The value obtained for the formation enthalpy at 0 K is -0.031 eV/atom. As for the total magnetization: 0.00 μB/f.u.